<i>
# GaI2Cl

A geometry-optimized GaI2Cl structure (PBE-GGA, Alexandria).

Structure (extended XYZ):
```
4
Lattice="7.868 -0.959 -2.448 3.267 4.942 -2.192 1.746 0.515 3.721" Properties=species:S:1:pos:R:3 pbc="T T T"
Ga 5.801 0.299 -0.918
I 10.181 3.017 -3.302
I 7.372 2.076 0.406
Cl 3.836 0.396 -0.013
```

Summary:
As for the space group: P1, No. 1.

=====

<ii>
# GaI2Cl

A geometry-optimized GaI2Cl structure (PBE-GGA, Alexandria).

Structure (extended XYZ):
```
8
Lattice="-7.019 0.800 -3.646 -3.723 -2.050 6.718 -5.511 3.430 2.695" Properties=species:S:1:pos:R:3 pbc="T T T"
I -6.673 1.152 -0.995
I -4.139 -0.374 4.647
I -7.927 2.233 2.750
I -13.767 1.350 5.133
Ga 0.000 0.000 0.000
Ga -8.950 1.802 0.293
Cl -5.371 -0.625 1.536
Cl -7.303 0.378 5.475
```

Summary:
As for the space group: I-42d, No. 122.

=====

Which one sits at the bottom of the stability order? <ii> does.

=====

<i>
# GaI2Cl

A geometry-optimized GaI2Cl structure (PBE-GGA, Alexandria).

Structure (extended XYZ):
```
8
Lattice="-0.984 -0.770 -3.784 -6.473 -5.803 2.865 -11.328 3.275 2.280" Properties=species:S:1:pos:R:3 pbc="T T T"
Ga -6.475 -2.692 1.183
Ga -12.311 -0.607 0.178
I -5.944 -0.329 0.564
I -12.842 -2.969 0.797
I -2.541 -1.950 -2.090
I -16.244 -1.348 3.450
Cl -8.312 -3.316 -0.311
Cl -10.474 0.018 1.671
```

Summary:
As for the space group: P2_1/m, No. 11.

=====

<ii>
# GaI2Cl

A geometry-optimized GaI2Cl structure (PBE-GGA, Alexandria).

Structure (extended XYZ):
```
4
Lattice="1.150 -3.075 4.346 2.096 2.287 4.477 -3.021 0.423 4.512" Properties=species:S:1:pos:R:3 pbc="T T T"
I 0.056 -0.091 3.334
I 0.169 -0.274 10.001
Ga 0.113 -0.183 6.667
Cl 0.000 0.000 0.000
```

Summary:
As for the space group: Fm-3m, No. 225.

=====

Which one sits at the bottom of the stability order? <ii> does.

=====

<i>
# Ga2I2Cl

A geometry-optimized Ga2I2Cl structure (PBE-GGA, Alexandria).

Structure (extended XYZ):
```
5
Lattice="5.566 0.000 0.000 0.000 5.566 0.000 2.783 2.783 5.758" Properties=species:S:1:pos:R:3 pbc="T T T"
I 2.783 2.783 1.865
I 5.566 5.566 3.893
Ga 5.566 2.783 2.879
Ga 2.783 5.566 2.879
Cl 0.000 0.000 0.000
```

Summary:
As for the space group: I4/mmm, No. 139.

=====

<ii>
# Ga2I2Cl

A geometry-optimized Ga2I2Cl structure (PBE-GGA, Alexandria).

Structure (extended XYZ):
```
10
Lattice="-5.112 -6.206 -1.959 7.673 -0.169 -2.042 -1.862 -0.752 7.338" Properties=species:S:1:pos:R:3 pbc="T T T"
Ga 6.160 -1.917 -2.172
Ga 2.929 -5.084 0.627
Ga -5.461 -5.210 5.509
Ga -2.229 -2.043 2.710
I 2.630 -2.281 0.387
I 1.697 -2.662 4.054
I -0.998 -4.465 -0.718
I -1.931 -4.846 2.950
Cl 2.930 -5.546 -1.837
Cl -2.231 -1.581 5.174
```

Summary:
As for the space group: P-1, No. 2.

=====

Which one sits at the bottom of the stability order? <i> does.

=====

<i>
# GaICl2

A geometry-optimized GaICl2 structure (PBE-GGA, Alexandria).

Structure (extended XYZ):
```
4
Lattice="2.087 0.000 11.955 -1.044 1.808 11.955 -1.044 -1.808 11.955" Properties=species:S:1:pos:R:3 pbc="T T T"
I 0.000 0.000 0.000
Ga 0.000 0.000 17.933
Cl 0.000 0.000 31.419
Cl 0.000 0.000 4.446
```

Summary:
As for the space group: R-3m, No. 166.

=====

<ii>
# GaICl2

A geometry-optimized GaICl2 structure (PBE-GGA, Alexandria).

Structure (extended XYZ):
```
4
Lattice="-6.430 1.244 -2.501 -4.098 -5.202 -1.878 -5.550 -0.991 3.949" Properties=species:S:1:pos:R:3 pbc="T T T"
Ga -4.615 -3.701 0.199
I -4.129 -5.111 -1.751
Cl -4.214 -1.605 0.210
Cl -11.896 -3.254 -0.513
```

Summary:
As for the space group: Imm2, No. 44.

=====

<iii>
# GaICl2

A geometry-optimized GaICl2 structure (PBE-GGA, Alexandria).

Structure (extended XYZ):
```
4
Lattice="0.000 3.828 3.828 3.828 0.000 3.828 3.828 3.828 0.000" Properties=species:S:1:pos:R:3 pbc="T T T"
I 3.828 3.828 3.828
Ga 0.000 0.000 0.000
Cl 1.914 1.914 1.914
Cl 5.742 5.742 5.742
```

Summary:
As for the space group: Fm-3m, No. 225.

=====

<iv>
# GaICl2

A geometry-optimized GaICl2 structure (PBE-GGA, Alexandria).

Structure (extended XYZ):
```
8
Lattice="-7.507 -1.478 0.637 -0.632 -0.089 -7.651 -3.017 -6.143 -3.532" Properties=species:S:1:pos:R:3 pbc="T T T"
I 0.000 0.000 0.000
I -7.297 -4.202 -3.201
Ga -4.070 -0.783 -3.507
Ga -3.859 -3.507 -7.345
Cl -3.632 -2.098 -1.602
Cl -3.981 -2.149 -5.425
Cl -5.474 -5.217 -7.209
Cl -9.225 -5.955 -6.856
```

Summary:
As for the space group: I-42d, No. 122.

=====

Which one sits at the bottom of the stability order? <iii> does.

=====

<i>
# KGaICl

A geometry-optimized KGaICl structure (PBE-GGA, Alexandria).

Structure (extended XYZ):
```
4
Lattice="-4.407 0.312 -1.066 1.785 -4.022 1.132 0.572 2.519 8.059" Properties=species:S:1:pos:R:3 pbc="T T T"
K -1.417 1.118 4.354
Ga 1.169 -3.527 1.997
I 0.099 0.103 7.477
Cl -3.375 -0.315 2.342
```

Summary:
As for the space group: R3m, No. 160.

=====

<ii>
# KGaICl

A geometry-optimized KGaICl structure (PBE-GGA, Alexandria).

Structure (extended XYZ):
```
4
Lattice="-1.192 -3.407 -4.352 3.545 -0.321 -4.393 3.047 -4.688 -0.837" Properties=species:S:1:pos:R:3 pbc="T T T"
I 2.700 -4.208 -4.791
K 1.350 -2.104 -2.395
Ga 4.050 -6.312 -7.186
Cl 0.000 0.000 0.000
```

Summary:
As for the space group: F-43m, No. 216.

=====

Which one sits at the bottom of the stability order? <ii> does.

=====

<i>
# GaPICl2

A geometry-optimized GaPICl2 structure (PBE-GGA, Alexandria).

Structure (extended XYZ):
```
5
Lattice="4.639 0.000 0.000 0.000 5.649 0.000 0.000 0.000 4.639" Properties=species:S:1:pos:R:3 pbc="T T T"
I 2.319 2.825 2.319
P 0.000 2.825 0.000
Ga 0.000 0.000 0.000
Cl 0.000 0.000 2.319
Cl 2.319 0.000 0.000
```

Summary:
As for the space group: P4/mmm, No. 123.

=====

<ii>
# GaPICl2

A geometry-optimized GaPICl2 structure (PBE-GGA, Alexandria).

Structure (extended XYZ):
```
5
Lattice="-3.785 -1.308 -4.172 2.189 -5.344 -0.310 -3.330 -1.568 3.512" Properties=species:S:1:pos:R:3 pbc="T T T"
I 0.000 0.000 0.000
P -1.665 -0.784 1.756
Ga -2.463 -4.110 -0.485
Cl 1.094 -2.672 -0.155
Cl -1.892 -0.654 -2.086
```

Summary:
As for the space group: P4/mmm, No. 123.

=====

Which one sits at the bottom of the stability order? <ii> does.

=====

<i>
# RbGaICl

A geometry-optimized RbGaICl structure (PBE-GGA, Alexandria).

Structure (extended XYZ):
```
4
Lattice="4.644 -0.001 0.000 -2.322 4.022 -0.001 -2.320 -1.341 8.205" Properties=species:S:1:pos:R:3 pbc="T T T"
Rb 0.440 -0.295 4.792
Ga -1.885 3.729 1.067
I -1.882 1.046 7.392
Cl 2.763 1.044 2.908
```

Summary:
As for the space group: R3m, No. 160.

=====

<ii>
# RbGaICl

A geometry-optimized RbGaICl structure (PBE-GGA, Alexandria).

Structure (extended XYZ):
```
4
Lattice="5.780 0.000 0.000 2.890 5.005 0.000 2.890 1.668 4.719" Properties=species:S:1:pos:R:3 pbc="T T T"
I 5.780 3.337 2.360
Ga 2.890 1.668 1.180
Rb 8.669 5.005 3.539
Cl 0.000 0.000 0.000
```

Summary:
As for the space group: F-43m, No. 216.

=====

Which one sits at the bottom of the stability order? <ii> does.

=====

<i>
# GaSb2ICl

A geometry-optimized GaSb2ICl structure (PBE-GGA, Alexandria).

Structure (extended XYZ):
```
5
Lattice="5.166 0.000 0.000 0.000 5.166 0.000 0.000 0.000 7.331" Properties=species:S:1:pos:R:3 pbc="T T T"
I 0.000 0.000 3.665
Sb 0.000 2.583 0.000
Sb 2.583 0.000 0.000
Ga 2.583 2.583 3.665
Cl 0.000 0.000 0.000
```

Summary:
As for the space group: P4/mmm, No. 123.

=====

<ii>
# GaSb2ICl

A geometry-optimized GaSb2ICl structure (PBE-GGA, Alexandria).

Structure (extended XYZ):
```
5
Lattice="-0.177 5.119 -1.754 -4.798 0.663 2.420 2.557 1.669 4.612" Properties=species:S:1:pos:R:3 pbc="T T T"
I 1.279 0.834 2.306
Sb -2.399 0.332 1.210
Sb -0.089 2.560 -0.877
Ga 0.000 0.000 0.000
Cl -1.209 3.725 2.639
```

Summary:
As for the space group: P4/mmm, No. 123.

=====

Which one sits at the bottom of the stability order? <i> does.